Entry 1:
# GGA-PBE Tl2RuBr, relaxed
# E_tot (eV per cell): -29.238
# D(E_F) (states/eV/cell): 5.14
# M_tot (μB per atom): 0.00
# Uncorrected formation energy (meV per atom): 266
data_Tl2RuBr
_chemical_formula_sum 'Tl4 Ru2 Br2'
_cell_length_a 3.222
_cell_length_b 4.210
_cell_length_c 16.173
_cell_angle_alpha 90.00
_cell_angle_beta 90.00
_cell_angle_gamma 90.00
_symmetry_space_group_name_H-M 'I m m 2'
_symmetry_Int_Tables_number 44
_symmetry_space_group_name_Hall 'I 2 -2'
loop_
_atom_site_label
_atom_site_type_symbol
_atom_site_fract_x
_atom_site_fract_y
_atom_site_fract_z
_atom_site_occupancy
Tl1 Tl 0.000 0.000 0.000 1
Tl2 Tl 0.000 0.500 0.156 1
Ru1 Ru 0.000 0.000 0.440 1
Br1 Br 0.000 0.500 0.824 1

Entry 2:
# GGA-PBE Tl2RuBr, relaxed
# E_tot (eV per cell): -14.416
# D(E_F) (states/eV/cell): 1.96
# M_tot (μB per atom): 0.00
# Uncorrected formation energy (meV per atom): 316
data_Tl2RuBr
_chemical_formula_sum 'Tl2 Ru1 Br1'
_cell_length_a 3.425
_cell_length_b 3.425
_cell_length_c 7.937
_cell_angle_alpha 90.00
_cell_angle_beta 90.00
_cell_angle_gamma 90.00
_symmetry_space_group_name_H-M 'P 4/m m m'
_symmetry_Int_Tables_number 123
_symmetry_space_group_name_Hall '-P 4 2'
loop_
_atom_site_label
_atom_site_type_symbol
_atom_site_fract_x
_atom_site_fract_y
_atom_site_fract_z
_atom_site_occupancy
Tl1 Tl 0.000 0.000 0.203 1
Ru1 Ru 0.500 0.500 0.000 1
Br1 Br 0.500 0.500 0.500 1

Entry 3:
# GGA-PBE Tl2RuBr, relaxed
# E_tot (eV per cell): -29.200
# D(E_F) (states/eV/cell): 7.14
# M_tot (μB per atom): 0.00
# Uncorrected formation energy (meV per atom): 270
data_Tl2RuBr
_chemical_formula_sum 'Tl4 Ru2 Br2'
_cell_length_a 10.461
_cell_length_b 3.220
_cell_length_c 6.697
_cell_angle_alpha 90.00
_cell_angle_beta 112.97
_cell_angle_gamma 90.00
_symmetry_space_group_name_H-M 'C 1 m 1'
_symmetry_Int_Tables_number 8
_symmetry_space_group_name_Hall 'C -2y'
loop_
_atom_site_label
_atom_site_type_symbol
_atom_site_fract_x
_atom_site_fract_y
_atom_site_fract_z
_atom_site_occupancy
Tl1 Tl 0.000 0.000 0.000 1
Tl2 Tl 0.158 0.000 0.629 1
Ru1 Ru 0.236 0.500 0.022 1
Br1 Br 0.349 0.000 0.336 1

Entry 4:
# GGA-PBE Tl2RuBr, relaxed
# E_tot (eV per cell): -51.474
# D(E_F) (states/eV/cell): 26.66
# M_tot (μB per atom): 0.26
# Uncorrected formation energy (meV per atom): 703
data_Tl2RuBr
_chemical_formula_sum 'Tl8 Ru4 Br4'
_cell_length_a 7.245
_cell_length_b 7.245
_cell_length_c 7.245
_cell_angle_alpha 90.00
_cell_angle_beta 90.00
_cell_angle_gamma 90.00
_symmetry_space_group_name_H-M 'F -4 3 m'
_symmetry_Int_Tables_number 216
_symmetry_space_group_name_Hall 'F -4 2 3'
loop_
_atom_site_label
_atom_site_type_symbol
_atom_site_fract_x
_atom_site_fract_y
_atom_site_fract_z
_atom_site_occupancy
Tl1 Tl 0.000 0.000 0.000 1
Tl2 Tl 0.250 0.250 0.250 1
Ru1 Ru 0.250 0.250 0.750 1
Br1 Br 0.000 0.000 0.500 1

Entry 5:
# GGA-PBE TlRu2Br, relaxed
# E_tot (eV per cell): -71.130
# D(E_F) (states/eV/cell): 10.22
# M_tot (μB per atom): 0.00
# Uncorrected formation energy (meV per atom): 1202
data_TlRu2Br
_chemical_formula_sum 'Tl4 Ru8 Br4'
_cell_length_a 6.077
_cell_length_b 6.077
_cell_length_c 10.597
_cell_angle_alpha 90.00
_cell_angle_beta 90.00
_cell_angle_gamma 90.00
_symmetry_space_group_name_H-M 'I -4 2 d'
_symmetry_Int_Tables_number 122
_symmetry_space_group_name_Hall 'I -4 2bw'
loop_
_atom_site_label
_atom_site_type_symbol
_atom_site_fract_x
_atom_site_fract_y
_atom_site_fract_z
_atom_site_occupancy
Tl1 Tl 0.000 0.000 0.000 1
Ru1 Ru 0.203 0.250 0.625 1
Br1 Br 0.000 0.000 0.500 1

Entry 6:
# GGA-PBE Tl2RuBr, relaxed
# E_tot (eV per cell): -14.625
# D(E_F) (states/eV/cell): 1.57
# M_tot (μB per atom): 0.00
# Uncorrected formation energy (meV per atom): 264
data_Tl2RuBr
_chemical_formula_sum 'Tl2 Ru1 Br1'
_cell_length_a 3.425
_cell_length_b 3.407
_cell_length_c 8.252
_cell_angle_alpha 90.00
_cell_angle_beta 90.15
_cell_angle_gamma 90.00
_symmetry_space_group_name_H-M 'P 1 2/m 1'
_symmetry_Int_Tables_number 10
_symmetry_space_group_name_Hall '-P 2y'
loop_
_atom_site_label
_atom_site_type_symbol
_atom_site_fract_x
_atom_site_fract_y
_atom_site_fract_z
_atom_site_occupancy
Tl1 Tl 0.002 0.000 0.195 1
Ru1 Ru 0.500 0.500 0.000 1
Br1 Br 0.000 0.500 0.500 1

Entry 7:
# GGA-PBE Tl3RuBr, relaxed
# E_tot (eV per cell): -18.330
# D(E_F) (states/eV/cell): 1.73
# M_tot (μB per atom): 0.00
# Uncorrected formation energy (meV per atom): -56
data_Tl3RuBr
_chemical_formula_sum 'Tl3 Ru1 Br1'
_cell_length_a 5.326
_cell_length_b 5.326
_cell_length_c 5.326
_cell_angle_alpha 90.00
_cell_angle_beta 90.00
_cell_angle_gamma 90.00
_symmetry_space_group_name_H-M 'P m -3 m'
_symmetry_Int_Tables_number 221
_symmetry_space_group_name_Hall '-P 4 2 3'
loop_
_atom_site_label
_atom_site_type_symbol
_atom_site_fract_x
_atom_site_fract_y
_atom_site_fract_z
_atom_site_occupancy
Tl1 Tl 0.000 0.000 0.500 1
Ru1 Ru 0.000 0.000 0.000 1
Br1 Br 0.500 0.500 0.500 1

Entry 8:
# GGA-PBE Tl2RuBr, relaxed
# E_tot (eV per cell): -51.670
# D(E_F) (states/eV/cell): 12.50
# M_tot (μB per atom): 0.64
# Uncorrected formation energy (meV per atom): 691
data_Tl2RuBr
_chemical_formula_sum 'Tl8 Ru4 Br4'
_cell_length_a 7.560
_cell_length_b 7.560
_cell_length_c 7.560
_cell_angle_alpha 90.00
_cell_angle_beta 90.00
_cell_angle_gamma 90.00
_symmetry_space_group_name_H-M 'F m -3 m'
_symmetry_Int_Tables_number 225
_symmetry_space_group_name_Hall '-F 4 2 3'
loop_
_atom_site_label
_atom_site_type_symbol
_atom_site_fract_x
_atom_site_fract_y
_atom_site_fract_z
_atom_site_occupancy
Tl1 Tl 0.250 0.250 0.250 1
Ru1 Ru 0.000 0.000 0.000 1
Br1 Br 0.000 0.000 0.500 1